Entry 1:
Entry from Alexandria via LeMat-Bulk: crystalline Li2Sn2S3 at its relaxed geometry (GGA-PBE).

Values from the calculation:
* space-group type: P-1 (2)
* magnetization: 0.00 μB per formula unit
* offset from the most stable computed form: 0 meV/atom
* E_form (uncorrected): -802 meV per atom
* energy: -4.2617 eV per atom

a = 4.117 Å, b = 6.440 Å, c = 7.053 Å
α = 117.40°, β = 73.03°, γ = 90.03°
Element x y z (fractional)
Li  0.187  0.674  0.625
Li  0.813  0.326  0.375
Sn  0.404  0.834  0.190
Sn  0.596  0.166  0.810
S  0.000  0.000  0.000
S  0.229  0.258  0.542
S  0.771  0.742  0.458

***

Entry 2:
Entry from Alexandria via LeMat-Bulk: crystalline LiSn5S6 at its relaxed geometry (GGA-PBE).

Values from the calculation:
* space-group type: C2/m (12)
* magnetization: 0.00 μB per formula unit
* E_form (uncorrected): -508 meV per atom
* energy: -4.3995 eV per atom

a = 6.979 Å, b = 6.999 Å, c = 7.010 Å
α = 60.05°, β = 80.49°, γ = 70.67°
Element x y z (fractional)
S  0.754  0.081  0.330
S  0.246  0.589  0.330
S  0.240  0.247  0.000
S  0.760  0.753  0.000
S  0.754  0.411  0.670
S  0.246  0.919  0.670
Sn  0.500  0.164  0.673
Sn  0.000  0.333  0.334
Sn  0.500  0.500  0.000
Sn  0.000  0.667  0.666
Sn  0.500  0.836  0.327
Li  0.000  0.000  0.000

***

Entry 3:
Entry from Alexandria via LeMat-Bulk: crystalline LiSn2S4 at its relaxed geometry (GGA-PBE).

Values from the calculation:
* space-group type: C2/c (15)
* magnetization: 0.00 μB per formula unit
* offset from the most stable computed form: 0 meV/atom
* E_form (uncorrected): -581 meV per atom
* energy: -4.3562 eV per atom

a = 7.673 Å, b = 7.669 Å, c = 13.271 Å
α = 106.99°, β = 90.00°, γ = 120.02°
Element x y z (fractional)
Li  0.940  0.375  0.312
Li  0.435  0.375  0.812
Li  0.565  0.625  0.188
Li  0.060  0.625  0.688
Sn  0.500  0.000  0.000
Sn  0.000  0.000  0.500
Sn  0.000  0.500  0.000
Sn  0.500  0.500  0.500
Sn  0.253  0.000  0.250
Sn  0.747  0.000  0.750
Sn  0.500  0.000  0.500
Sn  0.000  0.000  0.000
S  0.371  0.756  0.121
S  0.862  0.754  0.626
S  0.138  0.246  0.374
S  0.629  0.244  0.879
S  0.140  0.765  0.376
S  0.624  0.765  0.876
S  0.621  0.753  0.382
S  0.132  0.753  0.882
S  0.892  0.754  0.126
S  0.385  0.756  0.621
S  0.868  0.247  0.118
S  0.379  0.247  0.618
S  0.376  0.235  0.124
S  0.860  0.235  0.624
S  0.615  0.244  0.379
S  0.108  0.246  0.874

***

Entry 4:
Entry from Alexandria via LeMat-Bulk: crystalline Li5SnS4 at its relaxed geometry (GGA-PBE).

Values from the calculation:
* space-group type: Pmmn (59)
* magnetization: 0.00 μB per formula unit
* E_form (uncorrected): -1022 meV per atom
* energy: -4.0304 eV per atom

a = 5.836 Å, b = 8.511 Å, c = 7.938 Å
α = 90.00°, β = 90.00°, γ = 90.00°
Element x y z (fractional)
Li  0.750  0.213  0.232
Li  0.750  0.213  0.768
Li  0.254  0.000  0.500
Li  0.750  0.787  0.232
Li  0.750  0.787  0.768
Li  0.250  0.713  0.268
Li  0.250  0.713  0.732
Li  0.746  0.500  0.000
Li  0.250  0.287  0.732
Li  0.250  0.287  0.268
Sn  0.184  0.000  0.000
Sn  0.816  0.500  0.500
S  0.025  0.288  0.000
S  0.464  0.000  0.242
S  0.464  0.000  0.758
S  0.025  0.712  0.000
S  0.975  0.788  0.500
S  0.536  0.500  0.258
S  0.536  0.500  0.742
S  0.975  0.212  0.500

***

Entry 5:
Entry from Alexandria via LeMat-Bulk: crystalline LiSn3S at its relaxed geometry (GGA-PBE).

Values from the calculation:
* space-group type: Pm-3m (221)
* magnetization: 0.00 μB per formula unit
* offset from the most stable computed form: 77 meV/atom
* E_form (uncorrected): 256 meV per atom
* energy: -3.3537 eV per atom

a = 4.984 Å, b = 4.984 Å, c = 4.984 Å
α = 90.00°, β = 90.00°, γ = 90.00°
Element x y z (fractional)
S  0.500  0.500  0.500
Sn  0.000  0.500  0.000
Sn  0.000  0.000  0.500
Sn  0.500  0.000  0.000
Li  0.000  0.000  0.000

***

Entry 6:
Entry from Alexandria via LeMat-Bulk: crystalline Li3SnS4 at its relaxed geometry (GGA-PBE).

Values from the calculation:
* space-group type: I-42m (121)
* magnetization: 0.67 μB per formula unit
* E_form (uncorrected): -791 meV per atom
* energy: -4.0724 eV per atom

a = 5.406 Å, b = 5.406 Å, c = 7.153 Å
α = 112.20°, β = 112.20°, γ = 90.00°
Element x y z (fractional)
Li  0.500  0.500  0.000
Li  0.750  0.250  0.500
Li  0.250  0.750  0.500
Sn  0.000  0.000  0.000
S  0.373  0.373  0.243
S  0.870  0.870  0.243
S  0.130  0.627  0.757
S  0.627  0.130  0.757